A geometry-optimized MnTlTc structure, computed with PBE.

Structure (extended XYZ):
```
3
Lattice="-2.951 3.219 4.244 -4.997 1.301 3.229 0.291 -1.626 2.483" Properties=species:S:1:pos:R:3 pbc="T T T"
Mn -7.773 4.389 7.367
Tc -2.639 0.560 4.258
Tl -5.194 2.466 5.806
```

## Properties
VASP energy: -6.85 eV/atom
DFT formation energy: 455 meV/atom
SG: I4mm, No. 107
Fermi-level density of states: 2.98 states/eV/cell

A geometry-optimized CaAc3Sm3 structure, computed with PBE.

Structure (extended XYZ):
```
14
Lattice="6.174 0.000 0.000 0.000 8.810 -5.086 0.000 0.000 10.173" Properties=species:S:1:pos:R:3 pbc="T T T"
Ca 4.630 2.937 5.086
Ca 1.543 5.873 0.000
Ac 4.630 0.392 2.264
Ac 4.630 1.765 8.701
Ac 4.630 6.653 4.294
Ac 1.543 8.418 2.822
Ac 1.543 7.045 -3.615
Ac 1.543 2.157 0.793
Sm 4.630 4.246 1.452
Sm 4.630 7.944 0.683
Sm 4.630 5.429 -2.135
Sm 1.543 4.563 3.635
Sm 1.543 0.866 4.403
Sm 1.543 3.380 7.221
```

## Properties
VASP energy: -4.00 eV/atom
DFT formation energy: 70 meV/atom
SG: P6_3/m, No. 176
Fermi-level density of states: 24.33 states/eV/cell

A geometry-optimized LiYGaCo structure, computed with PBE.

Structure (extended XYZ):
```
4
Lattice="4.511 0.000 0.000 2.256 3.907 0.000 2.256 1.302 3.684" Properties=species:S:1:pos:R:3 pbc="T T T"
Y 6.767 3.907 2.763
Co 4.511 2.605 1.842
Ga 2.256 1.302 0.921
Li 0.000 0.000 0.000
```

## Properties
VASP energy: -4.85 eV/atom
DFT formation energy: -227 meV/atom
SG: F-43m, No. 216
Fermi-level density of states: 4.61 states/eV/cell

A geometry-optimized PaTiCo2Ge2 structure, computed with PBE.

Structure (extended XYZ):
```
6
Lattice="4.098 0.000 0.000 -2.049 3.549 0.000 0.000 0.000 6.576" Properties=species:S:1:pos:R:3 pbc="T T T"
Pa 0.000 0.000 0.000
Ti 0.000 0.000 3.288
Co 2.049 1.183 2.157
Co 0.000 2.366 4.420
Ge 2.049 1.183 4.753
Ge 0.000 2.366 1.823
```

## Properties
VASP energy: -7.40 eV/atom
DFT formation energy: -594 meV/atom
SG: P-3m1, No. 164
Fermi-level density of states: 4.63 states/eV/cell

A geometry-optimized CuGeO2 structure, computed with PBE.

Structure (extended XYZ):
```
4
Lattice="-5.372 -0.461 2.889 -3.371 -2.112 4.647 -3.491 1.007 4.921" Properties=species:S:1:pos:R:3 pbc="T T T"
Ge -6.116 -0.783 6.228
O -10.940 -1.400 11.140
O -1.292 -0.165 1.316
Cu 0.000 0.000 0.000
```

## Properties
VASP energy: -5.44 eV/atom
SG: R-3m, No. 166
Fermi-level density of states: 1.66 states/eV/cell
E_form (uncorrected): -75 kJ/mol of atoms

A geometry-optimized CsNpNi2S4 structure, computed with PBE.

Structure (extended XYZ):
```
8
Lattice="6.148 0.000 0.000 3.074 6.328 0.098 3.074 0.616 6.298" Properties=species:S:1:pos:R:3 pbc="T T T"
Cs 0.000 0.000 0.000
Np 6.148 3.472 3.198
Ni 3.074 2.624 2.417
Ni 9.222 4.320 3.980
S 4.672 1.395 3.065
S 4.672 5.549 3.332
S 7.624 3.169 1.139
S 7.624 3.775 5.257
```

## Properties
VASP energy: -5.77 eV/atom
SG: I222, No. 23
Fermi-level density of states: 10.51 states/eV/cell
E_form (uncorrected): -52 kJ/mol of atoms

A geometry-optimized Rb2CdCuI5 structure, computed with PBE.

Structure (extended XYZ):
```
18
Lattice="4.611 0.000 0.000 -2.306 10.744 0.000 0.000 0.000 15.225" Properties=species:S:1:pos:R:3 pbc="T T T"
Rb 2.306 8.091 12.598
Rb 0.000 2.674 10.751
Rb 0.000 2.653 4.985
Rb 2.306 8.070 3.139
Cd 2.306 6.309 8.022
Cd 0.000 4.435 0.410
Cu 2.306 1.569 13.963
Cu 0.000 9.175 6.350
I 0.000 7.342 0.252
I 2.306 4.270 13.416
I 2.306 0.082 11.867
I 0.000 6.380 10.058
I 2.306 9.254 7.744
I 2.306 3.402 7.864
I 0.000 6.474 5.803
I 0.000 10.662 4.255
I 2.306 4.363 2.446
I 0.000 1.490 0.131
```

## Properties
VASP energy: -2.51 eV/atom
SG: Cmc2_1, No. 36
E_form (uncorrected): -85 kJ/mol of atoms

A geometry-optimized Ti6Re5Ir structure, computed with PBE.

Structure (extended XYZ):
```
12
Lattice="4.218 0.018 -1.231 -0.855 5.476 -2.851 -0.068 0.408 7.616" Properties=species:S:1:pos:R:3 pbc="T T T"
Re 2.647 1.062 1.245
Re 1.076 2.105 3.719
Re -0.428 2.738 -1.426
Re 2.219 3.797 -0.185
Re 0.648 4.840 2.289
Ir 0.000 0.000 0.000
Ti 2.970 3.471 2.384
Ti 3.395 0.745 3.804
Ti 1.469 4.105 -2.749
Ti 1.893 1.388 -1.334
Ti -0.101 5.157 -0.270
Ti 0.325 2.430 1.150
```

## Properties
VASP energy: -10.40 eV/atom
DFT formation energy: -527 meV/atom
SG: Immm, No. 71
Fermi-level density of states: 7.19 states/eV/cell

A geometry-optimized CaTcIrPt2 structure, computed with PBE.

Structure (extended XYZ):
```
5
Lattice="4.735 0.000 0.000 0.000 4.501 0.000 0.000 0.000 4.735" Properties=species:S:1:pos:R:3 pbc="T T T"
Ca 0.000 0.000 0.000
Ir 2.368 2.250 2.368
Tc 0.000 2.250 0.000
Pt 0.000 0.000 2.368
Pt 2.368 0.000 0.000
```

## Properties
VASP energy: -4.45 eV/atom
DFT formation energy: 2208 meV/atom
SG: P4/mmm, No. 123
Fermi-level density of states: 9.64 states/eV/cell

A geometry-optimized Pm4Tl2Ge structure, computed with PBE.

Structure (extended XYZ):
```
7
Lattice="4.028 0.000 0.000 0.000 6.656 -0.209 -2.014 -3.440 8.324" Properties=species:S:1:pos:R:3 pbc="T T T"
Pm 2.014 -1.021 6.765
Pm 0.000 4.237 1.351
Pm 2.014 0.936 1.928
Pm 0.000 2.280 6.187
Tl 2.014 3.619 3.853
Tl 0.000 -0.402 4.262
Ge 0.000 0.000 0.000
```

## Properties
VASP energy: -4.40 eV/atom
DFT formation energy: -346 meV/atom
SG: C2/m, No. 12
Fermi-level density of states: 6.24 states/eV/cell

A geometry-optimized CoAgRu2N structure, computed with PBE.

Structure (extended XYZ):
```
5
Lattice="-2.004 -3.462 -0.632 3.375 -1.685 -1.474 0.963 -1.214 3.592" Properties=species:S:1:pos:R:3 pbc="T T T"
Ru 1.688 -0.842 -0.737
Ru -1.002 -1.731 -0.316
Co 0.482 -0.607 1.796
Ag 1.167 -3.180 0.743
N 0.000 0.000 0.000
```

## Properties
VASP energy: -7.02 eV/atom
SG: P4/mmm, No. 123
Fermi-level density of states: 5.35 states/eV/cell
E_form (uncorrected): 34 kJ/mol of atoms

A geometry-optimized KRb2HfI6 structure, computed with PBE.

Structure (extended XYZ):
```
10
Lattice="8.820 0.000 0.000 0.000 8.820 0.000 4.410 4.410 6.237" Properties=species:S:1:pos:R:3 pbc="T T T"
I 4.410 4.410 3.350
I 8.820 8.820 2.887
I 2.041 2.041 0.000
I 6.779 6.779 0.000
I 6.779 2.041 0.000
I 2.041 6.779 0.000
K 4.410 4.410 0.000
Hf 0.000 0.000 0.000
Rb 8.820 4.410 3.118
Rb 4.410 8.820 3.118
```

## Properties
VASP energy: -3.35 eV/atom
SG: Fm-3m, No. 225
Fermi-level density of states: 9.11 states/eV/cell
E_form (uncorrected): -109 kJ/mol of atoms

- What is the VASP energy in the seventh record?
  -2.51 eV/atom

Copy entry 12 word for word.
A geometry-optimized KRb2HfI6 structure, computed with PBE.

Structure (extended XYZ):
```
10
Lattice="8.820 0.000 0.000 0.000 8.820 0.000 4.410 4.410 6.237" Properties=species:S:1:pos:R:3 pbc="T T T"
I 4.410 4.410 3.350
I 8.820 8.820 2.887
I 2.041 2.041 0.000
I 6.779 6.779 0.000
I 6.779 2.041 0.000
I 2.041 6.779 0.000
K 4.410 4.410 0.000
Hf 0.000 0.000 0.000
Rb 8.820 4.410 3.118
Rb 4.410 8.820 3.118
```

## Properties
VASP energy: -3.35 eV/atom
SG: Fm-3m, No. 225
Fermi-level density of states: 9.11 states/eV/cell
E_form (uncorrected): -109 kJ/mol of atoms

- Which of these has the lowest VASP energy?
  Ti6Re5Ir